## P
Y2Zn3Sn | Alexandria via LeMat-Bulk | PBE | relaxed; crystal system = orthorhombic; total magnetization = 0.00 μB/cell; D(E_F) = 0.550 states/eV per atom
1.0
-0.707 -0.328 3.563
-4.189 -1.399 -0.960
2.536 -7.466 -0.184
Y Zn Sn
2 3 1
direct
0.000 0.000 0.513
0.000 0.500 0.991
0.500 0.500 0.683
0.500 0.000 0.148
0.500 0.000 0.830
0.500 0.500 0.336

---

## Q
Y2Zn3Sn | Alexandria via LeMat-Bulk | PBE | relaxed; crystal system = orthorhombic; total magnetization = 0.00 μB/cell; D(E_F) = 0.618 states/eV per atom
1.0
-4.175 3.171 2.517
-3.019 -3.650 -3.375
3.235 -4.936 6.349
Y Zn Sn
4 6 2
direct
0.250 0.750 0.500
0.244 0.244 0.000
0.756 0.756 0.000
0.750 0.250 0.500
0.677 0.163 0.841
0.163 0.677 0.841
0.839 0.839 0.678
0.161 0.161 0.322
0.323 0.837 0.159
0.837 0.323 0.159
0.666 0.666 0.332
0.334 0.334 0.668

---

Relative energies in eV/atom: P 0.021; Q 0.000

---

## P
YZnSn3 | Alexandria via LeMat-Bulk | PBE | relaxed; crystal system = cubic; total magnetization = 0.00 μB/cell; D(E_F) = 1.302 states/eV per atom
1.0
5.838 0.000 0.000
0.000 5.838 0.000
0.000 0.000 5.838
Sn Y Zn
3 1 1
direct
0.500 0.000 0.000
0.000 0.500 0.000
0.000 0.000 0.500
0.000 0.000 0.000
0.500 0.500 0.500

---

## Q
YZnSn3 | Alexandria via LeMat-Bulk | PBE | relaxed; crystal system = cubic; total magnetization = 0.00 μB/cell; D(E_F) = 0.524 states/eV per atom
1.0
-4.815 -1.456 1.383
1.986 -2.911 3.847
-0.302 4.077 3.241
Zn Y Sn
1 1 3
direct
0.000 0.000 0.000
0.500 0.500 0.500
0.000 0.000 0.500
0.000 0.500 0.000
0.500 0.000 0.000

---

Relative energies in eV/atom: P 0.459; Q 0.000

---

## P
YZn2Sn2 | Alexandria via LeMat-Bulk | PBE | relaxed; crystal system = tetragonal; total magnetization = 0.00 μB/cell; D(E_F) = 0.488 states/eV per atom
1.0
7.880 0.000 0.000
0.000 7.880 0.000
0.000 0.000 3.593
Zn Sn Y
4 4 2
direct
0.383 0.883 0.000
0.617 0.117 0.000
0.117 0.383 0.000
0.883 0.617 0.000
0.322 0.178 0.500
0.822 0.322 0.500
0.678 0.822 0.500
0.178 0.678 0.500
0.500 0.500 0.000
0.000 0.000 0.000

---

## Q
YZn2Sn2 | Alexandria via LeMat-Bulk | PBE | relaxed; crystal system = tetragonal; total magnetization = 0.00 μB/cell; D(E_F) = 0.314 states/eV per atom
1.0
-3.877 -1.349 0.323
0.393 -1.989 -3.584
0.477 -7.244 1.707
Zn Sn Y
2 2 1
direct
0.250 0.750 0.500
0.750 0.250 0.500
0.612 0.612 0.776
0.388 0.388 0.224
0.000 0.000 0.000

---

## R
YZn2Sn2 | Alexandria via LeMat-Bulk | PBE | relaxed; crystal system = tetragonal; total magnetization = 0.00 μB/cell; D(E_F) = 0.493 states/eV per atom
1.0
8.126 0.000 0.000
0.000 8.126 0.000
0.000 0.000 3.481
Y Sn Zn
2 4 4
direct
0.000 0.000 0.000
0.500 0.500 0.000
0.139 0.361 0.000
0.861 0.639 0.000
0.361 0.861 0.000
0.639 0.139 0.000
0.340 0.160 0.500
0.840 0.340 0.500
0.160 0.660 0.500
0.660 0.840 0.500

---

## S
YZn2Sn2 | Alexandria via LeMat-Bulk | PBE | relaxed; crystal system = orthorhombic; total magnetization = 0.00 μB/cell; D(E_F) = 0.369 states/eV per atom
1.0
4.308 0.000 -0.766
0.000 4.382 0.000
-0.174 0.000 11.521
Y Zn Sn
2 4 4
direct
0.360 0.250 0.720
0.640 0.750 0.280
0.963 0.250 0.926
0.037 0.750 0.074
0.468 0.750 0.936
0.532 0.250 0.064
0.118 0.250 0.237
0.751 0.250 0.501
0.249 0.750 0.499
0.882 0.750 0.763

---

Relative energies in eV/atom: P 0.117; Q 0.165; R 0.245; S 0.000

---

## P
YZrSn2 | Alexandria via LeMat-Bulk | PBE | relaxed; crystal system = tetragonal; total magnetization = 0.00 μB/cell; D(E_F) = 0.750 states/eV per atom
1.0
4.393 0.000 0.000
0.000 4.701 0.000
0.000 0.000 4.701
Sn Zr Y
2 1 1
direct
0.000 0.500 0.000
0.000 0.000 0.500
0.500 0.500 0.500
0.500 0.000 0.000

---

## Q
YZrSn2 | Alexandria via LeMat-Bulk | PBE | relaxed; crystal system = cubic; total magnetization = 1.75 μB/cell; D(E_F) = 0.990 states/eV per atom
1.0
0.000 3.681 3.681
3.681 0.000 3.681
3.681 3.681 0.000
Y Zr Sn
1 1 2
direct
0.000 0.000 0.000
0.500 0.500 0.500
0.750 0.750 0.750
0.250 0.250 0.250

---

## R
YZrSn2 | Alexandria via LeMat-Bulk | PBE | relaxed; crystal system = tetragonal; total magnetization = 0.00 μB/cell; D(E_F) = 0.831 states/eV per atom
1.0
8.125 0.000 0.000
0.000 8.125 0.000
4.062 4.062 3.225
Sn Zr Y
4 2 2
direct
0.638 0.125 0.250
0.375 0.362 0.750
0.112 0.625 0.250
0.875 0.888 0.750
0.750 0.250 0.500
0.000 0.000 0.000
0.250 0.750 0.500
0.500 0.500 0.000

---

Relative energies in eV/atom: P 0.000; Q 0.106; R 0.148

---

## P
YZrSn2 | Alexandria via LeMat-Bulk | PBE | relaxed; crystal system = tetragonal; total magnetization = 0.00 μB/cell; D(E_F) = 0.871 states/eV per atom
1.0
3.894 0.000 0.000
0.000 3.894 0.000
0.000 0.000 6.546
Sn Zr Y
2 1 1
direct
0.000 0.000 0.772
0.000 0.000 0.228
0.500 0.500 0.000
0.500 0.500 0.500

---

## Q
YZrSn2 | Alexandria via LeMat-Bulk | PBE | relaxed; crystal system = trigonal; total magnetization = 0.00 μB/cell; D(E_F) = 0.365 states/eV per atom
1.0
-3.166 -1.857 -1.811
0.367 -3.861 -1.307
-3.298 -4.393 5.645
Sn Y Zr
2 1 1
direct
0.744 0.744 0.767
0.256 0.256 0.233
0.500 0.500 0.500
0.000 0.000 0.000

---

Relative energies in eV/atom: P 0.000; Q 0.013

---

## P
Y2ZrSn2 | Alexandria via LeMat-Bulk | PBE | relaxed; crystal system = tetragonal; total magnetization = 0.00 μB/cell; D(E_F) = 0.764 states/eV per atom
1.0
4.326 0.000 0.000
0.000 4.326 0.000
2.163 2.163 7.133
Zr Y Sn
1 2 2
direct
0.000 0.000 0.000
0.750 0.250 0.500
0.250 0.750 0.500
0.405 0.405 0.190
0.595 0.595 0.810

---

## Q
Y2ZrSn2 | Alexandria via LeMat-Bulk | PBE | relaxed; crystal system = tetragonal; total magnetization = 0.00 μB/cell; D(E_F) = 1.069 states/eV per atom
1.0
-1.047 6.756 3.847
-7.711 -0.407 -1.384
-0.548 -2.193 3.703
Sn Y Zr
4 4 2
direct
0.362 0.862 0.000
0.638 0.138 0.000
0.138 0.362 0.000
0.862 0.638 0.000
0.331 0.169 0.500
0.169 0.669 0.500
0.669 0.831 0.500
0.831 0.331 0.500
0.500 0.500 0.000
0.000 0.000 0.000

---

Relative energies in eV/atom: P 0.467; Q 0.000

---

## P
YZr3Sn | Alexandria via LeMat-Bulk | PBE | relaxed; crystal system = cubic; total magnetization = 1.24 μB/cell; D(E_F) = 1.433 states/eV per atom
1.0
5.193 0.000 0.000
0.000 5.193 0.000
0.000 0.000 5.193
Zr Y Sn
3 1 1
direct
0.000 0.000 0.500
0.000 0.500 0.000
0.500 0.000 0.000
0.000 0.000 0.000
0.500 0.500 0.500

---

## Q
YZr3Sn | Alexandria via LeMat-Bulk | PBE | relaxed; crystal system = cubic; total magnetization = 0.00 μB/cell; D(E_F) = 1.656 states/eV per atom
1.0
5.364 0.000 0.000
0.000 5.364 0.000
0.000 0.000 5.364
Zr Y Sn
3 1 1
direct
0.000 0.500 0.000
0.500 0.000 0.000
0.000 0.000 0.500
0.500 0.500 0.500
0.000 0.000 0.000

---

Relative energies in eV/atom: P 0.601; Q 0.000

---

## P
Yb5Sn3 | Alexandria via LeMat-Bulk | PBE | relaxed; crystal system = hexagonal; total magnetization = 2.45 μB/cell; D(E_F) = 8.915 states/eV per atom
1.0
-8.152 1.239 -4.096
5.607 -6.725 -2.847
-2.826 -4.200 4.354
Yb Sn
10 6
direct
0.333 0.667 0.500
0.733 0.000 0.750
0.667 0.333 0.500
0.333 0.667 0.000
0.000 0.733 0.750
0.267 0.267 0.750
0.000 0.267 0.250
0.267 0.000 0.250
0.667 0.333 0.000
0.733 0.733 0.250
0.000 0.385 0.750
0.385 0.000 0.750
0.000 0.615 0.250
0.615 0.000 0.250
0.385 0.385 0.250
0.615 0.615 0.750

---

## Q
Yb5Sn3 | Alexandria via LeMat-Bulk | PBE | relaxed; crystal system = tetragonal; total magnetization = 2.45 μB/cell; D(E_F) = 9.229 states/eV per atom
1.0
9.376 -0.070 0.000
2.525 9.029 0.000
-5.950 -4.480 5.695
Yb Sn
10 6
direct
0.683 0.520 0.500
0.317 0.480 0.500
0.817 0.317 0.837
0.000 0.000 0.000
0.520 0.020 0.837
0.020 0.183 0.500
0.183 0.683 0.163
0.980 0.817 0.500
0.480 0.980 0.163
0.500 0.500 0.000
0.372 0.128 0.500
0.250 0.250 0.000
0.628 0.872 0.500
0.750 0.750 0.000
0.872 0.372 0.243
0.128 0.628 0.757

---

Relative energies in eV/atom: P 0.011; Q 0.000

---

## P
ZnSn5 | Alexandria via LeMat-Bulk | PBE | relaxed; crystal system = orthorhombic; total magnetization = 0.00 μB/cell; D(E_F) = 0.334 states/eV per atom
1.0
4.663 0.000 0.000
0.000 4.572 0.000
0.000 -2.286 7.322
Sn Zn
5 1
direct
0.000 0.661 0.322
0.500 0.500 0.000
0.500 0.160 0.320
0.000 0.339 0.678
0.500 0.840 0.680
0.000 0.000 0.000

---

## Q
ZnSn5 | Alexandria via LeMat-Bulk | PBE | relaxed; crystal system = orthorhombic; total magnetization = 0.00 μB/cell; D(E_F) = 0.575 states/eV per atom
1.0
-0.461 -2.774 2.371
3.126 -2.890 -2.774
6.759 4.138 3.303
Sn Zn
5 1
direct
0.174 0.500 0.347
0.641 0.000 0.283
0.500 0.500 0.000
0.359 0.000 0.717
0.826 0.500 0.653
0.000 0.000 0.000

---

Relative energies in eV/atom: P 0.000; Q 0.028

---

## P
Zn6Sn | Alexandria via LeMat-Bulk | PBE | relaxed; crystal system = cubic; total magnetization = 0.00 μB/cell; D(E_F) = 0.179 states/eV per atom
1.0
-2.436 2.217 -5.000
-3.956 -3.567 2.735
1.493 4.499 3.658
Zn Sn
6 1
direct
0.750 0.250 0.500
0.500 0.750 0.250
0.250 0.500 0.750
0.750 0.500 0.250
0.500 0.250 0.750
0.250 0.750 0.500
0.000 0.000 0.000

---

## Q
Zn6Sn | Alexandria via LeMat-Bulk | PBE | relaxed; crystal system = orthorhombic; total magnetization = 0.00 μB/cell; D(E_F) = 0.307 states/eV per atom
1.0
-1.269 -4.830 1.687
5.521 0.779 6.383
-7.797 4.224 6.229
Zn Sn
24 4
direct
0.750 0.099 0.483
0.250 0.564 0.585
0.250 0.313 0.740
0.750 0.599 0.017
0.507 0.062 0.694
0.007 0.438 0.194
0.250 0.401 0.983
0.993 0.562 0.806
0.250 0.813 0.760
0.250 0.064 0.915
0.493 0.438 0.194
0.250 0.646 0.351
0.750 0.854 0.851
0.750 0.687 0.260
0.007 0.938 0.306
0.750 0.936 0.085
0.750 0.187 0.240
0.750 0.436 0.415
0.250 0.146 0.149
0.250 0.901 0.517
0.493 0.938 0.306
0.507 0.562 0.806
0.750 0.354 0.649
0.993 0.062 0.694
0.250 0.766 0.060
0.750 0.734 0.560
0.750 0.234 0.940
0.250 0.266 0.440

---

Relative energies in eV/atom: P 0.379; Q 0.000